Entry from Alexandria: an optimized crystal structure of Sm12Er5Tl2 (GGA-PBE).

For the calculated volume, the calculation gives 32.325 Å³ per atom. For the final energy, the calculation gives -4.409 eV per atom.

The structure belongs to space group C2/m (No. 12); the cell edges are 15.4225, 9.3631 and 8.5163 Å and the angles 90.00°, 92.75° and 90.00°. The distinct sites, in fractional coordinates, are Sm at (0.0554, 0.0000, 0.3189), Sm at (0.0847, 0.5000, 0.8847), Sm at (0.1234, 0.1953, 0.6536), Sm at (0.1514, 0.3150, 0.2348), Er at (0.0000, 0.5000, 0.5000), Er at (0.1851, 0.0000, 0.0035), Er at (0.2330, 0.5000, 0.5857) and Tl at (0.0000, 0.1841, 0.0000).